DFT (PBE) results for SmEr2Hg6 after structural relaxation.

Cell and atoms, written as POSCAR:
```
SmEr2Hg6
1.0
5.404 0.170 0.577
0.732 8.964 2.294
0.283 -0.429 9.268
Hg Sm Er
12 2 4
direct
0.695 0.242 0.987
0.638 0.100 0.352
0.470 0.677 0.432
0.805 0.013 0.758
0.530 0.323 0.568
0.862 0.648 0.900
0.970 0.432 0.677
0.362 0.900 0.648
0.195 0.987 0.242
0.138 0.352 0.100
0.305 0.758 0.013
0.030 0.568 0.323
0.750 0.874 0.126
0.250 0.126 0.874
0.085 0.209 0.458
0.585 0.458 0.209
0.415 0.542 0.791
0.915 0.791 0.542
```

Calculated values
The theoretical density is 12.4 Mg/m³. As for the total energy: -2.1309 eV per atom. The magnetization comes out at 0.000 μB per atom. The calculation puts the energy above the most stable polymorph in this dataset at 0 meV/atom.